DFT (PBE) results for a relaxed Tl3Bi5Cl12 crystal.

Cell and atoms, written as POSCAR:
```
Tl3Bi5Cl12
1.0
15.754 0.000 0.000
-5.251 14.853 0.000
-5.251 -7.427 12.863
Cl Tl Bi
48 12 20
Cartesian
-0.495 1.095 2.557 Cl
-6.449 3.815 8.989 Cl
3.515 5.542 1.191 Cl
-4.054 12.689 1.367 Cl
1.737 1.884 11.673 Cl
3.515 9.400 1.037 Cl
-0.889 9.311 1.191 Cl
6.140 -1.884 11.673 Cl
3.823 5.979 5.241 Cl
11.392 7.338 2.227 Cl
11.701 3.612 3.874 Cl
-1.198 8.875 5.241 Cl
0.495 9.473 8.659 Cl
5.065 2.734 7.468 Cl
0.186 4.693 5.395 Cl
6.679 11.242 3.874 Cl
-5.438 10.732 5.065 Cl
-5.065 6.039 12.533 Cl
-3.121 8.522 10.306 Cl
6.988 7.516 2.227 Cl
10.689 -3.305 7.798 Cl
6.140 1.973 11.827 Cl
-6.140 0.089 10.636 Cl
8.063 13.466 0.330 Cl
-1.428 -3.815 8.989 Cl
10.008 0.951 6.102 Cl
-1.428 5.263 11.497 Cl
-2.812 3.305 7.798 Cl
-1.737 -0.089 10.636 Cl
2.439 10.160 5.395 Cl
-2.812 -6.039 12.533 Cl
-2.131 -0.951 6.102 Cl
8.372 -1.095 2.557 Cl
8.063 4.121 5.065 Cl
1.428 1.448 7.622 Cl
10.317 1.387 0.330 Cl
6.449 -1.448 7.622 Cl
-0.889 5.453 1.037 Cl
2.812 -2.734 7.468 Cl
9.305 -5.263 11.497 Cl
7.382 8.378 6.762 Cl
6.679 2.164 1.367 Cl
2.131 5.380 8.659 Cl
5.746 6.331 10.306 Cl
1.737 -1.973 11.827 Cl
3.121 2.046 4.204 Cl
-4.756 6.476 6.762 Cl
4.756 -2.046 4.204 Cl
-3.939 2.785 11.255 Tl
3.939 0.000 9.648 Tl
1.313 -0.928 4.824 Tl
6.564 0.928 4.824 Tl
9.190 10.212 1.608 Tl
9.190 4.642 1.608 Tl
-1.313 6.498 8.040 Tl
1.313 7.427 3.216 Tl
-3.939 -2.785 11.255 Tl
3.939 8.355 8.040 Tl
11.816 0.000 3.216 Tl
-6.564 7.427 9.648 Tl
7.877 0.000 0.000 Bi
9.190 -0.928 8.040 Bi
-2.626 7.427 0.000 Bi
5.251 -3.713 6.432 Bi
3.939 11.140 3.216 Bi
3.939 2.785 1.608 Bi
6.564 6.498 4.824 Bi
-1.313 12.068 1.608 Bi
5.251 7.427 0.000 Bi
-1.313 3.713 3.216 Bi
-3.939 8.355 4.824 Bi
-5.251 3.713 6.432 Bi
6.564 3.713 9.648 Bi
2.626 3.713 6.432 Bi
-1.313 0.928 8.040 Bi
1.313 -3.713 9.648 Bi
-2.626 -3.713 6.432 Bi
6.564 -4.642 11.255 Bi
0.000 0.000 0.000 Bi
1.313 4.642 11.255 Bi
```

Theoretical density (g/cm³): 4.60
Density of states at the Fermi level (states/eV/cell): 64.26
DFT total energy (eV per atom): -2.988
Total magnetization (μB per formula unit): 0.003